Record 1
# ScHgPCl2 PBE relaxed
# Formation energy without anion corrections: -18.00 kcal/mol of atoms
# Distance to the lowest polymorph of the same formula: 0.0 meV per atom
data_ScHgPCl2
_cell_length_a 4.851
_cell_length_b 4.851
_cell_length_c 5.479
_cell_angle_alpha 90.00
_cell_angle_beta 90.00
_cell_angle_gamma 90.00
_symmetry_space_group_name_H-M 'P 4/m m m'
_symmetry_Int_Tables_number 123
_symmetry_space_group_name_Hall '-P 4 2'
loop_
_atom_site_label
_atom_site_type_symbol
_atom_site_fract_x
_atom_site_fract_y
_atom_site_fract_z
Sc1 Sc 0.000 0.000 0.000
Hg1 Hg 0.500 0.500 0.500
P1 P 0.000 0.000 0.500
Cl1 Cl 0.000 0.500 0.000



Record 2
# U2Ga9Rh3 PBE relaxed
# E_form: -468 meV/atom
data_U2Ga9Rh3
_cell_length_a 13.183
_cell_length_b 7.634
_cell_length_c 9.473
_cell_angle_alpha 90.00
_cell_angle_beta 90.00
_cell_angle_gamma 90.00
_symmetry_space_group_name_H-M 'C m c m'
_symmetry_Int_Tables_number 63
_symmetry_space_group_name_Hall '-C 2c 2'
loop_
_atom_site_label
_atom_site_type_symbol
_atom_site_fract_x
_atom_site_fract_y
_atom_site_fract_z
U1 U 0.165 0.166 0.250
Ga1 Ga 0.000 0.126 0.750
Ga2 Ga 0.000 0.333 0.069
Ga3 Ga 0.103 0.441 0.750
Ga4 Ga 0.167 0.167 0.578
Rh1 Rh 0.000 0.000 0.000
Rh2 Rh 0.170 0.500 0.000



Record 3
# HoEr3Tm3 PBE relaxed
# E_form: 1 meV/atom
# Distance to the lowest polymorph of the same formula: 0.0 meV per atom
data_HoEr3Tm3
_cell_length_a 9.4410
_cell_length_b 9.4410
_cell_length_c 5.5456
_cell_angle_alpha 90.00
_cell_angle_beta 90.00
_cell_angle_gamma 120.00
_symmetry_space_group_name_H-M 'P 63/m'
_symmetry_Int_Tables_number 176
_symmetry_space_group_name_Hall '-P 6c'
loop_
_atom_site_label
_atom_site_type_symbol
_atom_site_fract_x
_atom_site_fract_y
_atom_site_fract_z
Ho1 Ho 0.3333 0.6667 0.2500
Er1 Er 0.0477 0.2383 0.2500
Tm1 Tm 0.0951 0.4763 0.7500